Entry 1:
Computed, not measured: a geometry-optimized RbLi2PuBr8 structure at the GGA-PBE level of DFT.

Geometry as POSCAR:
```
RbLi2PuBr8
1.0
6.746 0.000 0.000
1.721 6.701 0.000
0.166 0.100 9.892
Rb Li Pu Br
1 2 1 8
direct
0.000 0.000 0.000
0.499 0.500 0.160
0.501 0.500 0.840
0.000 0.000 0.500
0.224 0.263 0.502
0.243 0.781 0.697
0.252 0.792 0.302
0.319 0.328 0.003
0.681 0.672 0.997
0.748 0.208 0.698
0.757 0.219 0.303
0.776 0.737 0.498
```

Output
ΔE_f (raw) in eV per atom: -1.28
Energy in eV per atom: -3.989
Space-group type: P-1, No. 2
M_tot in μB per formula unit: 2.97

***

Entry 2:
Computed, not measured: a geometry-optimized Ac8Ge3Se4O structure at the GGA-PBE level of DFT.

Geometry as POSCAR:
```
Ac8Ge3Se4O
1.0
7.721 -4.452 0.000
7.721 4.452 0.000
-5.142 0.000 7.382
Ac Ge Se O
8 3 4 1
direct
0.237 0.755 0.729
0.241 0.241 0.733
0.245 0.763 0.271
0.252 0.252 0.257
0.748 0.748 0.743
0.755 0.237 0.729
0.759 0.759 0.267
0.763 0.245 0.271
0.000 0.500 0.500
0.500 0.000 0.500
0.500 0.500 0.500
0.000 0.000 0.000
0.000 0.500 0.000
0.500 0.000 0.000
0.500 0.500 0.000
0.000 0.000 0.500
```

Output
ΔE_f (raw) in eV per atom: -1.53
Energy in eV per atom: -5.634
Space-group type: C2/m, No. 12
M_tot in μB per formula unit: 0.00

***

Entry 3:
Computed, not measured: a geometry-optimized MgO structure at the GGA-PBE level of DFT.

Geometry as POSCAR:
```
MgO
1.0
3.286 0.000 0.000
-1.643 2.845 0.000
0.000 0.000 10.503
Mg O
4 4
direct
0.000 0.000 0.000
0.000 0.000 0.500
0.333 0.667 0.249
0.667 0.333 0.749
0.000 0.000 0.308
0.000 0.000 0.808
0.333 0.667 0.059
0.667 0.333 0.559
```

Output
ΔE_f (raw) in eV per atom: -2.62
Energy in eV per atom: -5.893
Space-group type: P6_3mc, No. 186
M_tot in μB per formula unit: 0.00

***

Entry 4:
Computed, not measured: a geometry-optimized TbPrLuZn structure at the GGA-PBE level of DFT.

Geometry as POSCAR:
```
TbPrLuZn
1.0
0.000 3.803 3.803
3.803 0.000 3.803
3.803 3.803 0.000
Tb Pr Lu Zn
1 1 1 1
direct
0.000 0.000 0.000
0.500 0.500 0.500
0.250 0.250 0.250
0.750 0.750 0.750
```

Output
Energy in eV per atom: -3.788
Space-group type: F-43m, No. 216
M_tot in μB per formula unit: 0.00

***

Entry 5:
Computed, not measured: a geometry-optimized HfTiSi structure at the GGA-PBE level of DFT.

Geometry as POSCAR:
```
HfTiSi
1.0
-1.791 2.768 5.330
1.791 -2.768 5.330
1.791 2.768 -5.330
Hf Ti Si
2 2 2
direct
0.192 0.192 0.000
0.808 0.808 0.000
0.243 0.500 0.743
0.757 0.500 0.257
0.381 0.881 0.500
0.619 0.119 0.500
```

Output
ΔE_f (raw) in eV per atom: -0.56
Energy in eV per atom: -8.314
Space-group type: Immm, No. 71
M_tot in μB per formula unit: 0.00

***

Entry 6:
Computed, not measured: a geometry-optimized VCuSe2 structure at the GGA-PBE level of DFT.

Geometry as POSCAR:
```
VCuSe2
1.0
-2.787 2.787 5.720
2.787 -2.787 5.720
2.787 2.787 -5.720
V Cu Se
2 2 4
direct
0.000 0.000 0.000
0.750 0.250 0.500
0.250 0.750 0.500
0.500 0.500 0.000
0.126 0.625 0.001
0.375 0.376 0.501
0.624 0.125 0.999
0.875 0.874 0.499
```

Output
ΔE_f (raw) in eV per atom: -0.36
Energy in eV per atom: -5.411
Space-group type: I-42d, No. 122
M_tot in μB per formula unit: 2.00

***

Entry 7:
Computed, not measured: a geometry-optimized Tb7PrY4 structure at the GGA-PBE level of DFT.

Geometry as POSCAR:
```
Tb7PrY4
1.0
6.041 -2.966 0.000
6.041 2.966 0.000
-5.999 0.000 11.209
Tb Pr Y
7 1 4
direct
0.000 0.000 0.000
0.132 0.132 0.503
0.290 0.290 0.078
0.440 0.440 0.671
0.560 0.560 0.329
0.710 0.710 0.922
0.868 0.868 0.497
0.500 0.500 0.000
0.132 0.132 0.775
0.251 0.251 0.317
0.749 0.749 0.683
0.868 0.868 0.225
```

Output
Energy in eV per atom: -4.993
Space-group type: C2/m, No. 12
M_tot in μB per formula unit: 0.00

***

Entry 8:
Computed, not measured: a geometry-optimized NbTl2Rh2Se6 structure at the GGA-PBE level of DFT.

Geometry as POSCAR:
```
NbTl2Rh2Se6
1.0
3.136 -5.725 0.000
3.136 5.725 0.000
-2.074 0.000 7.820
Nb Tl Rh Se
1 2 2 6
direct
0.000 0.000 0.000
0.159 0.841 0.500
0.841 0.159 0.500
0.337 0.663 0.000
0.663 0.337 0.000
0.046 0.398 0.178
0.286 0.286 0.812
0.398 0.046 0.178
0.602 0.954 0.822
0.714 0.714 0.188
0.954 0.602 0.822
```

Output
ΔE_f (raw) in eV per atom: -0.44
Energy in eV per atom: -5.025
Space-group type: C2/m, No. 12
M_tot in μB per formula unit: 0.80

***

Entry 9:
Computed, not measured: a geometry-optimized Ba2SiI structure at the GGA-PBE level of DFT.

Geometry as POSCAR:
```
Ba2SiI
1.0
0.000 4.210 4.210
4.210 0.000 4.210
4.210 4.210 0.000
Ba Si I
2 1 1
direct
0.250 0.250 0.250
0.750 0.750 0.750
0.000 0.000 0.000
0.500 0.500 0.500
```

Output
ΔE_f (raw) in eV per atom: -0.62
Energy in eV per atom: -3.326
Space-group type: Fm-3m, No. 225
M_tot in μB per formula unit: 1.00

***

Entry 10:
Computed, not measured: a geometry-optimized ScAlTcGe structure at the GGA-PBE level of DFT.

Geometry as POSCAR:
```
ScAlTcGe
1.0
0.000 3.171 3.171
3.171 0.000 3.171
3.171 3.171 0.000
Sc Al Tc Ge
1 1 1 1
direct
0.000 0.000 0.000
0.750 0.750 0.750
0.500 0.500 0.500
0.250 0.250 0.250
```

Output
Energy in eV per atom: -6.618
Space-group type: F-43m, No. 216
M_tot in μB per formula unit: 0.00